## LaNpCo2O8 (GGA+U)

Data for a relaxed LaNpCo2O8 crystal.

extended XYZ file:
```
12
Lattice="-1.559 2.218 5.340 -4.454 0.373 -3.985 1.386 -5.782 0.714" Properties=species:S:1:pos:R:3 pbc="T T T"
Co -1.589 -1.134 3.365
Co -3.007 1.296 0.677
O -0.416 -1.029 2.091
O -2.528 -0.353 -0.280
O -3.249 -1.549 3.074
O -2.219 0.267 4.172
O 0.173 -3.816 1.836
O -4.179 1.021 2.231
O -2.719 -3.233 0.349
O -0.474 -2.225 4.124
La 0.000 0.000 0.000
Np -3.037 -2.056 -1.297
```

## Properties
**Size of the total moment**: 4.03 μB/f.u.
**Total DFT energy (no corrections)**: -91.0 eV per formula unit